1.
YIO: PBEsol geometry, meta-GGA SCAN.

The value obtained for the energy is -159.689 eV/cell. The calculation puts the raw formation energy at -9.0 eV/f.u. The value obtained for the magnetic moment is 0.000 μB per atom. The density of states at the Fermi level comes out at 0.00 states/eV per atom. As for the crystal system: tetragonal.

It has space group P4/nmm (No. 129, origin choice 2), with a = 3.894 Å, b = 3.894 Å, c = 9.265 Å, α = 90.00°, β = 90.00° and γ = 90.00°. The distinct sites, in fractional coordinates, are Y at (0.250, 0.250, 0.117), I at (0.250, 0.250, 0.680) and O at (0.250, 0.750, 0.000).

***

2.
Y2IO2: PBEsol geometry, meta-GGA SCAN.

The value obtained for the energy is -239.927 eV/cell. The calculation puts the raw formation energy at -15.1 eV/f.u. The value obtained for the magnetic moment is 0.021 μB per atom. The density of states at the Fermi level comes out at 0.24 states/eV per atom. As for the crystal system: tetragonal.

It has space group I4/mmm (No. 139), with a = 4.009 Å, b = 4.009 Å, c = 11.733 Å, α = 90.00°, β = 90.00° and γ = 90.00°. The distinct sites, in fractional coordinates, are Y at (0.000, 0.000, 0.164), I at (0.000, 0.000, 0.500) and O at (0.000, 0.500, 0.250).

***

3.
Y3IO: PBEsol geometry, meta-GGA SCAN.

The value obtained for the energy is -131.864 eV/cell. The calculation puts the raw formation energy at -5.4 eV/f.u. The value obtained for the magnetic moment is 0.257 μB per atom. The density of states at the Fermi level comes out at 0.94 states/eV per atom. As for the crystal system: cubic.

It has space group Pm-3m (No. 221), with a = 4.763 Å, b = 4.763 Å, c = 4.763 Å, α = 90.00°, β = 90.00° and γ = 90.00°. The distinct sites, in fractional coordinates, are Y at (0.000, 0.000, 0.500), I at (0.500, 0.500, 0.500) and O at (0.000, 0.000, 0.000).

***

4.
YIO: PBEsol geometry, meta-GGA SCAN.

The value obtained for the energy is -477.552 eV/cell. The calculation puts the raw formation energy at -8.8 eV/f.u. The value obtained for the magnetic moment is 0.000 μB per atom. The density of states at the Fermi level comes out at 0.00 states/eV per atom. As for the crystal system: trigonal.

It has space group R-3m (No. 166, hexagonal axes), with a = 3.8693 Å, b = 3.8693 Å, c = 32.1559 Å, α = 90.00°, β = 90.00° and γ = 120.00°. The distinct sites, in fractional coordinates, are Y at (0.0000, 0.0000, 0.2099), I at (0.0000, 0.0000, 0.3896) and O at (0.0000, 0.0000, 0.1402).

***

5.
YZrIO2: PBEsol geometry, meta-GGA SCAN.

The value obtained for the energy is -116.316 eV/cell. The calculation puts the raw formation energy at -8.6 eV/f.u. The value obtained for the magnetic moment is 0.000 μB per atom. The density of states at the Fermi level comes out at 0.69 states/eV per atom. As for the crystal system: tetragonal.

It has space group P4/mmm (No. 123), with a = 4.143 Å, b = 4.143 Å, c = 5.785 Å, α = 90.00°, β = 90.00° and γ = 90.00°. The distinct sites, in fractional coordinates, are Y at (0.000, 0.000, 0.000), Zr at (0.500, 0.500, 0.500), I at (0.500, 0.500, 0.000) and O at (0.000, 0.500, 0.500).

***

6.
ZnI2O2: PBEsol geometry, meta-GGA SCAN.

The value obtained for the energy is -95.844 eV/cell. The calculation puts the raw formation energy at 3.6 eV/f.u. The value obtained for the magnetic moment is 0.005 μB per atom. The density of states at the Fermi level comes out at 0.35 states/eV per atom. As for the crystal system: tetragonal.

It has space group P4/mmm (No. 123), with a = 4.767 Å, b = 4.767 Å, c = 3.908 Å, α = 90.00°, β = 90.00° and γ = 90.00°. The distinct sites, in fractional coordinates, are Zn at (0.000, 0.000, 0.000), I at (0.000, 0.500, 0.500), O at (0.500, 0.500, 0.000) and O at (0.500, 0.500, 0.500).